# KMn3B4O12 PBE with a Hubbard U relaxed
data_KMn3B4O12
_chemical_formula_sum 'K3 Mn9 B12 O36'
_cell_length_a 9.5633
_cell_length_b 9.5633
_cell_length_c 7.8958
_cell_angle_alpha 90.00
_cell_angle_beta 90.00
_cell_angle_gamma 120.00
_space_group_name_H-M_alt 'R 3 2'
_space_group_IT_number 155
_space_group_name_Hall 'R 3 2"'
loop_
_atom_site_label
_atom_site_fract_x
_atom_site_fract_y
_atom_site_fract_z
_atom_site_occupancy
K1 0.0000 0.0000 0.0000 1
Mn1 0.0000 0.5508 0.0000 1
B1 0.0000 0.0000 0.5000 1
B2 0.0000 0.4425 0.5000 1
O1 0.0000 0.5905 0.5000 1
O2 0.0000 0.8547 0.5000 1
O3 0.0253 0.2170 0.2094 1
# * crystal system: trigonal
# * E_tot: -7.3937 eV per atom
# * Fermi-level density of states: 0.088 states/eV/atom